# PBE with a Hubbard U Cs2TlMoO4, relaxed
data_Cs2TlMoO4
_chemical_formula_sum 'Cs4 Tl2 Mo2 O8'
_cell_length_a 12.904
_cell_length_b 11.649
_cell_length_c 7.501
_cell_angle_alpha 81.62
_cell_angle_beta 63.27
_cell_angle_gamma 35.11
_symmetry_space_group_name_H-M 'P 1'
_symmetry_Int_Tables_number 1
loop_
_symmetry_equiv_pos_as_xyz
'x,y,z'
loop_
_atom_site_label
_atom_site_type_symbol
_atom_site_fract_x
_atom_site_fract_y
_atom_site_fract_z
Cs1 Cs 0.067 0.067 0.683
Cs2 Cs 0.317 0.317 0.933
Cs3 Cs 0.683 0.683 0.067
Cs4 Cs 0.933 0.933 0.317
Tl1 Tl 0.125 0.125 0.125
Tl2 Tl 0.875 0.875 0.875
Mo1 Mo 0.375 0.375 0.375
Mo2 Mo 0.625 0.625 0.625
O1 O 0.100 0.561 0.487
O2 O 0.351 0.487 0.561
O3 O 0.439 0.900 0.649
O4 O 0.487 0.351 0.100
O5 O 0.513 0.649 0.900
O6 O 0.561 0.100 0.351
O7 O 0.649 0.513 0.439
O8 O 0.900 0.439 0.513
# uncorrected energy: -0.3815 Ry per atom
# SG: Fddd, No. 70